Record 1
Li6AlF8 after structural relaxation. Source: Alexandria via LeMat-Bulk, functional PBE.

The structure in extended XYZ format:
```
15
Lattice="0.000 4.301 4.301 4.301 0.000 4.301 4.301 4.301 0.000" Properties=species:S:1:pos:R:3 pbc="T T T"
Li 2.151 2.151 0.000
Li 2.151 0.000 2.151
Li 4.301 2.151 2.151
Li 0.000 2.151 2.151
Li 2.151 4.301 2.151
Li 2.151 2.151 4.301
Al 0.000 0.000 0.000
F 4.301 4.301 1.857
F 4.301 1.857 4.301
F 6.745 4.301 4.301
F 2.151 2.151 2.151
F 6.452 6.452 6.452
F 1.857 4.301 4.301
F 4.301 6.745 4.301
F 4.301 4.301 6.745
```

Properties
* magnetic moment: 0.00 μB per cell
* N(E_F): 0.114 states/eV per atom
* raw formation energy: -2.79 eV per atom
* calculated total energy: -4.80 eV/atom

Record 2
LiAl3F after structural relaxation. Source: Alexandria via LeMat-Bulk, functional PBE.

The structure in extended XYZ format:
```
5
Lattice="4.535 0.000 0.000 0.000 4.535 0.000 0.000 0.000 4.535" Properties=species:S:1:pos:R:3 pbc="T T T"
Li 0.000 0.000 0.000
Al 0.000 2.267 2.267
Al 2.267 0.000 2.267
Al 2.267 2.267 0.000
F 2.267 2.267 2.267
```

Properties
* energy above the most stable polymorph in this dataset: 0 meV/atom
* magnetic moment: 0.00 μB per cell
* N(E_F): 0.537 states/eV per atom
* raw formation energy: -0.21 eV per atom
* calculated total energy: -3.22 eV/atom

Record 3
LiAl2F6 after structural relaxation. Source: Alexandria via LeMat-Bulk, functional PBE.

The structure in extended XYZ format:
```
9
Lattice="2.664 1.538 4.823 -2.664 1.538 4.823 0.000 -3.076 4.823" Properties=species:S:1:pos:R:3 pbc="T T T"
Li 0.000 0.000 0.000
Al 0.000 0.000 3.041
Al 0.000 0.000 7.863
F -0.288 -1.561 6.811
F -1.467 -0.370 8.814
F -1.208 1.030 6.811
F 1.054 -1.086 8.814
F 1.496 0.531 6.811
F 0.413 1.455 8.814
```

Properties
* magnetic moment: 0.99 μB per cell
* N(E_F): 0.097 states/eV per atom
* raw formation energy: -2.99 eV per atom
* calculated total energy: -5.28 eV/atom

Record 4
Li2AlF5 after structural relaxation. Source: Alexandria via LeMat-Bulk, functional PBE.

The structure in extended XYZ format:
```
16
Lattice="1.824 -5.045 0.000 1.824 5.045 0.000 0.000 0.000 9.848" Properties=species:S:1:pos:R:3 pbc="T T T"
Li 1.824 3.818 5.579
Li 1.824 3.818 9.193
Li 1.824 -3.818 0.655
Li 1.824 -3.818 4.269
Al 1.824 3.176 2.462
Al 1.824 -3.176 7.386
F 1.824 4.431 1.181
F 1.824 4.431 3.743
F 1.824 2.019 7.386
F 1.824 1.902 1.128
F 1.824 1.902 3.796
F 1.824 -1.902 6.052
F 1.824 -1.902 8.721
F 1.824 -2.019 2.462
F 1.824 -4.431 6.105
F 1.824 -4.431 8.667
```

Properties
* magnetic moment: 0.00 μB per cell
* N(E_F): 0.000 states/eV per atom
* raw formation energy: -3.28 eV per atom
* calculated total energy: -5.39 eV/atom

Record 5
LiAlF4 after structural relaxation. Source: Alexandria via LeMat-Bulk, functional PBE.

The structure in extended XYZ format:
```
12
Lattice="5.051 0.000 0.000 0.000 4.485 0.000 0.000 0.000 5.344" Properties=species:S:1:pos:R:3 pbc="T T T"
Li 0.000 0.000 0.000
Li 0.000 2.242 2.672
Al 2.526 0.000 1.651
Al 2.526 2.242 4.323
F 1.007 0.901 1.566
F 1.007 1.341 4.238
F 1.824 3.342 2.939
F 1.824 3.385 0.267
F 3.227 1.100 0.267
F 3.227 1.143 2.939
F 4.045 3.143 4.238
F 4.045 3.584 1.566
```

Properties
* magnetic moment: 0.00 μB per cell
* N(E_F): 0.000 states/eV per atom
* raw formation energy: -3.34 eV per atom
* calculated total energy: -5.53 eV/atom

Record 6
LiAlF2 after structural relaxation. Source: Alexandria via LeMat-Bulk, functional PBE.

The structure in extended XYZ format:
```
12
Lattice="2.878 0.000 0.000 -1.439 2.493 0.000 0.000 0.000 18.022" Properties=species:S:1:pos:R:3 pbc="T T T"
Li 0.000 0.000 0.000
Li 0.000 1.662 12.014
Li 1.439 0.831 6.007
Al 0.000 0.000 9.011
Al 0.000 1.662 3.004
Al 1.439 0.831 15.018
F 0.000 0.000 7.132
F 0.000 0.000 10.890
F 0.000 1.662 1.125
F 0.000 1.662 4.883
F 1.439 0.831 13.139
F 1.439 0.831 16.897
```

Properties
* energy above the most stable polymorph in this dataset: 0 meV/atom
* magnetic moment: 0.00 μB per cell
* N(E_F): 0.000 states/eV per atom
* raw formation energy: -2.51 eV per atom
* calculated total energy: -4.86 eV/atom